(1)
LaHgSe2 after structural relaxation, computed with PBE.

CIF file:
```
data_LaHgSe2
_chemical_formula_sum 'La2 Hg2 Se4'
_space_group_name_H-M_alt 'I -4 m 2'
_space_group_IT_number 119
_space_group_name_Hall 'I -4 -2'
_cell_length_a 4.2439
_cell_length_b 4.2439
_cell_length_c 11.2828
_cell_angle_alpha 90.00
_cell_angle_beta 90.00
_cell_angle_gamma 90.00
loop_
_atom_site_label
_atom_site_fract_x
_atom_site_fract_y
_atom_site_fract_z
La1 0.0000 0.0000 0.0000
Hg1 0.0000 0.5000 0.2500
Se1 0.0000 0.0000 0.5000
Se2 0.0000 0.5000 0.7500
```

(2)
La2HgSe2 after structural relaxation, computed with PBE.

CIF file:
```
data_La2HgSe2
_chemical_formula_sum 'La4 Hg2 Se4'
_space_group_name_H-M_alt 'I 4/m m m'
_space_group_IT_number 139
_space_group_name_Hall '-I 4 2'
_cell_length_a 5.4226
_cell_length_b 5.4226
_cell_length_c 11.9910
_cell_angle_alpha 90.00
_cell_angle_beta 90.00
_cell_angle_gamma 90.00
loop_
_atom_site_label
_atom_site_fract_x
_atom_site_fract_y
_atom_site_fract_z
La1 0.0000 0.5000 0.2500
Hg1 0.0000 0.0000 0.0000
Se1 0.0000 0.0000 0.3488
```

(3)
La2HgSe after structural relaxation, computed with PBE.

CIF file:
```
data_La2HgSe
_chemical_formula_sum 'La8 Hg4 Se4'
_space_group_name_H-M_alt 'C m c m'
_space_group_IT_number 63
_space_group_name_Hall '-C 2c 2'
_cell_length_a 4.1845
_cell_length_b 24.8788
_cell_length_c 4.6113
_cell_angle_alpha 90.00
_cell_angle_beta 90.00
_cell_angle_gamma 90.00
loop_
_atom_site_label
_atom_site_fract_x
_atom_site_fract_y
_atom_site_fract_z
La1 0.0000 0.0720 0.2500
La2 0.0000 0.3126 0.2500
Hg1 0.0000 0.4574 0.2500
Se1 0.0000 0.1920 0.2500
```

(4)
LaHgSe after structural relaxation, computed with PBE.

CIF file:
```
data_LaHgSe
_chemical_formula_sum 'La4 Hg4 Se4'
_space_group_name_H-M_alt 'C 1 2/m 1'
_space_group_IT_number 12
_space_group_name_Hall '-C 2y'
_cell_length_a 6.1061
_cell_length_b 6.1007
_cell_length_c 9.3730
_cell_angle_alpha 90.00
_cell_angle_beta 108.34
_cell_angle_gamma 90.00
loop_
_atom_site_label
_atom_site_fract_x
_atom_site_fract_y
_atom_site_fract_z
La1 0.1598 0.0000 0.3145
Hg1 0.2500 0.2500 0.0000
Se1 0.1751 0.5000 0.3448
```

(5)
La4HgSe5 after structural relaxation, computed with PBE.

CIF file:
```
data_La4HgSe5
_chemical_formula_sum 'La8 Hg2 Se10'
_space_group_name_H-M_alt 'C 1 2/m 1'
_space_group_IT_number 12
_space_group_name_Hall '-C 2y'
_cell_length_a 20.0193
_cell_length_b 4.3336
_cell_length_c 9.5770
_cell_angle_alpha 90.00
_cell_angle_beta 111.22
_cell_angle_gamma 90.00
loop_
_atom_site_label
_atom_site_fract_x
_atom_site_fract_y
_atom_site_fract_z
La1 0.0098 0.0000 0.2277
La2 0.1779 0.5000 0.5913
Hg1 0.0000 0.5000 0.5000
Se1 0.0000 0.5000 0.0000
Se2 0.1299 0.0000 0.7437
Se3 0.1681 0.0000 0.3645
```

(6)
La2HgSe after structural relaxation, computed with PBE.

CIF file:
```
data_La2HgSe
_chemical_formula_sum 'La6 Hg3 Se3'
_space_group_name_H-M_alt 'R 3 m'
_space_group_IT_number 160
_space_group_name_Hall 'R 3 -2"'
_cell_length_a 4.1876
_cell_length_b 4.1876
_cell_length_c 24.4951
_cell_angle_alpha 90.00
_cell_angle_beta 90.00
_cell_angle_gamma 120.00
loop_
_atom_site_label
_atom_site_fract_x
_atom_site_fract_y
_atom_site_fract_z
La1 0.0000 0.0000 0.0000
La2 0.0000 0.0000 0.1851
Hg1 0.0000 0.0000 0.7594
Se1 0.0000 0.0000 0.5909
```

(7)
La2HgSe after structural relaxation, computed with PBE.

CIF file:
```
data_La2HgSe
_chemical_formula_sum 'La8 Hg4 Se4'
_space_group_name_H-M_alt 'F m -3 m'
_space_group_IT_number 225
_space_group_name_Hall '-F 4 2 3'
_cell_length_a 7.6360
_cell_length_b 7.6360
_cell_length_c 7.6360
_cell_angle_alpha 90.00
_cell_angle_beta 90.00
_cell_angle_gamma 90.00
loop_
_atom_site_label
_atom_site_fract_x
_atom_site_fract_y
_atom_site_fract_z
La1 0.2500 0.2500 0.2500
Hg1 0.0000 0.0000 0.0000
Se1 0.0000 0.0000 0.5000
```

(8)
LaHgSe2 after structural relaxation, computed with PBE.

CIF file:
```
data_LaHgSe2
_chemical_formula_sum 'La2 Hg2 Se4'
_space_group_name_H-M_alt 'C 1 2/m 1'
_space_group_IT_number 12
_space_group_name_Hall '-C 2y'
_cell_length_a 7.7502
_cell_length_b 4.4761
_cell_length_c 7.5034
_cell_angle_alpha 90.00
_cell_angle_beta 98.04
_cell_angle_gamma 90.00
loop_
_atom_site_label
_atom_site_fract_x
_atom_site_fract_y
_atom_site_fract_z
La1 0.0000 0.0000 0.0000
Hg1 0.0000 0.5000 0.5000
Se1 0.2004 0.5000 0.2103
```

(9)
La2HgSe after structural relaxation, computed with PBE.

CIF file:
```
data_La2HgSe
_chemical_formula_sum 'La8 Hg4 Se4'
_space_group_name_H-M_alt 'F -4 3 m'
_space_group_IT_number 216
_space_group_name_Hall 'F -4 2 3'
_cell_length_a 7.5947
_cell_length_b 7.5947
_cell_length_c 7.5947
_cell_angle_alpha 90.00
_cell_angle_beta 90.00
_cell_angle_gamma 90.00
loop_
_atom_site_label
_atom_site_fract_x
_atom_site_fract_y
_atom_site_fract_z
La1 0.0000 0.0000 0.0000
La2 0.2500 0.2500 0.2500
Hg1 0.0000 0.0000 0.5000
Se1 0.2500 0.2500 0.7500
```

(10)
LaHgSe after structural relaxation, computed with PBE.

CIF file:
```
data_LaHgSe
_chemical_formula_sum 'La2 Hg2 Se2'
_space_group_name_H-M_alt 'P 63/m m c'
_space_group_IT_number 194
_space_group_name_Hall '-P 6c 2c'
_cell_length_a 5.4323
_cell_length_b 5.4323
_cell_length_c 6.1729
_cell_angle_alpha 90.00
_cell_angle_beta 90.00
_cell_angle_gamma 120.00
loop_
_atom_site_label
_atom_site_fract_x
_atom_site_fract_y
_atom_site_fract_z
La1 0.3333 0.6667 0.2500
Hg1 0.0000 0.0000 0.0000
Se1 0.3333 0.6667 0.7500
```

(11)
La4HgSe3 after structural relaxation, computed with PBE.

CIF file:
```
data_La4HgSe3
_chemical_formula_sum 'La8 Hg2 Se6'
_space_group_name_H-M_alt 'I 4/m m m'
_space_group_IT_number 139
_space_group_name_Hall '-I 4 2'
_cell_length_a 6.1951
_cell_length_b 6.1951
_cell_length_c 12.3777
_cell_angle_alpha 90.00
_cell_angle_beta 90.00
_cell_angle_gamma 90.00
loop_
_atom_site_label
_atom_site_fract_x
_atom_site_fract_y
_atom_site_fract_z
La1 0.0000 0.0000 0.2426
La2 0.0000 0.5000 0.0000
Hg1 0.0000 0.0000 0.5000
Se1 0.0000 0.0000 0.0000
Se2 0.0000 0.5000 0.2500
```

(12)
La2HgSe2 after structural relaxation, computed with PBE.

CIF file:
```
data_La2HgSe2
_chemical_formula_sum 'La4 Hg2 Se4'
_space_group_name_H-M_alt 'P 4/m b m'
_space_group_IT_number 127
_space_group_name_Hall '-P 4 2ab'
_cell_length_a 8.4396
_cell_length_b 8.4396
_cell_length_c 3.8252
_cell_angle_alpha 90.00
_cell_angle_beta 90.00
_cell_angle_gamma 90.00
loop_
_atom_site_label
_atom_site_fract_x
_atom_site_fract_y
_atom_site_fract_z
La1 0.1601 0.3399 0.0000
Hg1 0.0000 0.0000 0.5000
Se1 0.1380 0.6380 0.5000
```

| no. | E_form (uncorrected) (meV/atom) |
| --- | --- |
| 1 | -1060 |
| 2 | -1184 |
| 3 | -1206 |
| 4 | -1292 |
| 5 | -1577 |
| 6 | -1132 |
| 7 | -895 |
| 8 | -1119 |
| 9 | -328 |
| 10 | -1204 |
| 11 | -1602 |
| 12 | -1411 |